(1)
Computed, not measured: a relaxed structure of HoCoOs at the PBE-GGA level of DFT.

Results
* relative energy among the computed polymorphs: 0.000 eV per atom
* calculated total energy: -85.21 eV per cell
* V: 19.9 Å³/atom
* ΔH_f (0 K): 0.535 eV/atom
* crystal system: cubic

Lattice parameters (Å, degrees): 6.202 6.202 6.202 90.00 90.00 90.00
Space group F-43m (No. 216)
Unique sites:
Ho 0.000 0.000 0.000
Co 0.000 0.000 0.500
Os 0.250 0.250 0.750

(2)
Computed, not measured: a relaxed structure of Y2Ho3Er2Ni2Te2 at the PBE-GGA level of DFT.

Results
* calculated total energy: -121.44 eV per cell
* V: 26.0 Å³/atom
* crystal system: orthorhombic

Lattice parameters (Å, degrees): 3.844 15.588 9.556 90.00 90.00 90.00
Space group Imm2 (No. 44)
Unique sites:
Y 0.000 0.146 0.000
Ho 0.000 0.368 0.150
Ho 0.000 0.500 0.732
Er 0.000 0.185 0.351
Ni 0.000 0.261 0.660
Te 0.000 0.000 0.496
Te 0.000 0.500 0.396

(3)
Computed, not measured: a relaxed structure of SrLaAgSe2S at the PBE-GGA level of DFT.

Results
* calculated total energy: -120.51 eV per cell
* V: 26.6 Å³/atom
* crystal system: orthorhombic

Lattice parameters (Å, degrees): 4.264 13.829 10.810 90.00 90.00 90.00
Space group Cmcm (No. 63)
Unique sites:
Sr 0.000 0.241 0.250
La 0.000 0.500 0.000
Ag 0.000 0.023 0.750
Se 0.000 0.148 0.564
S 0.000 0.415 0.750

(4)
Computed, not measured: a relaxed structure of SmNbS2Br2 at the PBE-GGA level of DFT.

Results
* calculated total energy: -34.23 eV per cell
* V: 30.1 Å³/atom
* crystal system: orthorhombic

Lattice parameters (Å, degrees): 4.008 5.183 8.700 90.00 90.00 90.00
Space group Pmm2 (No. 25)
Unique sites:
Sm 0.000 0.000 0.000
Nb 0.500 0.500 0.767
S 0.000 0.500 0.939
S 0.500 0.000 0.770
Br 0.000 0.500 0.555
Br 0.500 0.000 0.235

(5)
Computed, not measured: a relaxed structure of TmPuTc at the PBE-GGA level of DFT.

Results
* relative energy among the computed polymorphs: 0.000 eV per atom
* calculated total energy: -106.28 eV per cell
* V: 23.7 Å³/atom
* ΔH_f (0 K): 0.797 eV/atom
* crystal system: cubic

Lattice parameters (Å, degrees): 6.580 6.580 6.580 90.00 90.00 90.00
Space group F-43m (No. 216)
Unique sites:
Tm 0.000 0.000 0.000
Pu 0.250 0.250 0.750
Tc 0.000 0.000 0.500

(6)
Computed, not measured: a relaxed structure of Sc3CuB2 at the PBE-GGA level of DFT.

Results
* calculated total energy: -71.64 eV per cell
* V: 16.4 Å³/atom
* crystal system: hexagonal

Lattice parameters (Å, degrees): 3.3508 3.3508 20.1844 90.00 90.00 120.00
Space group P6_3/mmc (No. 194)
Unique sites:
Sc 0.0000 0.0000 0.0000
Sc 0.3333 0.6667 0.1466
Cu 0.0000 0.0000 0.2500
B 0.3333 0.6667 0.5782

(7)
Computed, not measured: a relaxed structure of HfBeTcBi at the PBE-GGA level of DFT.

Results
* relative energy among the computed polymorphs: 0.078 eV per atom
* calculated total energy: -106.33 eV per cell
* V: 17.5 Å³/atom
* crystal system: cubic

Lattice parameters (Å, degrees): 6.539 6.539 6.539 90.00 90.00 90.00
Space group F-43m (No. 216)
Unique sites:
Hf 0.000 0.000 0.000
Be 0.250 0.250 0.250
Tc 0.000 0.000 0.500
Bi 0.250 0.250 0.750

(8)
Computed, not measured: a relaxed structure of Hf3ZnC2 at the PBE-GGA level of DFT.

Results
* calculated total energy: -107.68 eV per cell
* V: 15.2 Å³/atom
* crystal system: hexagonal

Lattice parameters (Å, degrees): 3.2846 3.2846 19.5378 90.00 90.00 120.00
Space group P6_3/mmc (No. 194)
Unique sites:
Hf 0.0000 0.0000 0.0000
Hf 0.3333 0.6667 0.1319
Zn 0.0000 0.0000 0.2500
C 0.3333 0.6667 0.5712

(9)
Computed, not measured: a relaxed structure of Na4AsPPd2 at the PBE-GGA level of DFT.

Results
* relative energy among the computed polymorphs: 0.000 eV per atom
* calculated total energy: -58.14 eV per cell
* V: 21.1 Å³/atom
* crystal system: orthorhombic

Lattice parameters (Å, degrees): 5.575 8.814 6.861 90.00 90.00 90.00
Space group Amm2 (No. 38)
Unique sites:
Na 0.000 0.178 0.000
Na 0.500 0.179 0.689
As 0.000 0.000 0.632
P 0.500 0.000 0.066
Pd 0.248 0.000 0.335

(10)
Computed, not measured: a relaxed structure of K2Ag2PtSe4 at the PBE-GGA level of DFT.

Results
* calculated total energy: -63.61 eV per cell
* V: 27.1 Å³/atom
* crystal system: monoclinic

Lattice parameters (Å, degrees): 7.017 6.021 12.951 90.00 116.74 90.00
Space group P2/c (No. 13)
Unique sites:
K 0.000 0.000 0.000
K 0.000 0.459 0.250
Ag 0.499 0.248 0.469
Pt 0.500 0.247 0.750
Se 0.263 0.063 0.815
Se 0.266 0.449 0.571

(11)
Computed, not measured: a relaxed structure of GdHo2Tl3CuNi2 at the PBE-GGA level of DFT.

Results
* calculated total energy: -77.48 eV per cell
* V: 21.0 Å³/atom
* crystal system: orthorhombic

Lattice parameters (Å, degrees): 3.806 13.106 7.566 90.00 90.00 90.00
Space group Amm2 (No. 38)
Unique sites:
Gd 0.000 0.000 0.000
Ho 0.000 0.205 0.616
Tl 0.500 0.000 0.674
Tl 0.500 0.133 0.279
Cu 0.000 0.000 0.412
Ni 0.500 0.168 0.911

(12)
Computed, not measured: a relaxed structure of SrAcPd at the PBE-GGA level of DFT.

Results
* relative energy among the computed polymorphs: 0.000 eV per atom
* calculated total energy: -48.47 eV per cell
* V: 35.0 Å³/atom
* crystal system: cubic

Lattice parameters (Å, degrees): 7.487 7.487 7.487 90.00 90.00 90.00
Space group F-43m (No. 216)
Unique sites:
Sr 0.000 0.000 0.000
Ac 0.000 0.000 0.500
Pd 0.250 0.250 0.750

(13)
Computed, not measured: a relaxed structure of Ho2TmLu5 at the PBE-GGA level of DFT.

Results
* calculated total energy: -72.50 eV per cell
* V: 29.6 Å³/atom
* ΔH_f (0 K): -0.001 eV/atom
* crystal system: orthorhombic

Lattice parameters (Å, degrees): 5.483 7.059 12.228 90.00 90.00 90.00
Space group Amm2 (No. 38)
Unique sites:
Ho 0.000 0.000 0.000
Ho 0.500 0.000 0.333
Tm 0.500 0.000 0.833
Lu 0.000 0.000 0.500
Lu 0.000 0.249 0.750
Lu 0.500 0.250 0.084

(14)
Computed, not measured: a relaxed structure of BiPPtO at the PBE-GGA level of DFT.

Results
* relative energy among the computed polymorphs: 0.000 eV per atom
* calculated total energy: -45.30 eV per cell
* V: 17.5 Å³/atom
* crystal system: tetragonal

Lattice parameters (Å, degrees): 4.124 4.124 8.248 90.00 90.00 90.00
Space group P4/nmm (No. 129, origin choice 2)
Unique sites:
Bi 0.250 0.250 0.145
P 0.250 0.250 0.652
Pt 0.250 0.750 0.500
O 0.250 0.750 0.000

(15)
Computed, not measured: a relaxed structure of AlNi at the PBE-GGA level of DFT.

Results
* calculated total energy: -10.65 eV per cell
* V: 12.0 Å³/atom
* crystal system: tetragonal

Lattice parameters (Å, degrees): 2.871 2.871 2.920 90.00 90.00 90.00
Space group P4/mmm (No. 123)
Unique sites:
Al 0.000 0.000 0.000
Ni 0.500 0.500 0.500

(16)
Computed, not measured: a relaxed structure of DyTe2O4 at the PBE-GGA level of DFT.

Results
* calculated total energy: -152.44 eV per cell
* V: 17.0 Å³/atom
* crystal system: tetragonal

Lattice parameters (Å, degrees): 6.947 6.947 9.856 90.00 90.00 90.00
Space group I4_1/amd (No. 141, origin choice 2)
Unique sites:
Dy 0.000 0.250 0.375
Te 0.000 0.000 0.000
O 0.000 0.006 0.753

(17)
Computed, not measured: a relaxed structure of Tb3SN2 at the PBE-GGA level of DFT.

Results
* calculated total energy: -45.49 eV per cell
* V: 16.9 Å³/atom
* crystal system: trigonal

Lattice parameters (Å, degrees): 3.5835 3.5835 9.1268 90.00 90.00 120.00
Space group P-3m1 (No. 164)
Unique sites:
Tb 0.0000 0.0000 0.0000
Tb 0.3333 0.6667 0.2960
S 0.0000 0.0000 0.5000
N 0.3333 0.6667 0.8400

(18)
Computed, not measured: a relaxed structure of Nd3Zn2Si4Au2 at the PBE-GGA level of DFT.

Results
* relative energy among the computed polymorphs: 0.038 eV per atom
* calculated total energy: -104.01 eV per cell
* V: 20.4 Å³/atom
* crystal system: orthorhombic

Lattice parameters (Å, degrees): 4.233 4.265 24.812 90.00 90.00 90.00
Space group Immm (No. 71)
Unique sites:
Nd 0.000 0.000 0.000
Nd 0.000 0.500 0.355
Zn 0.000 0.500 0.094
Si 0.000 0.000 0.452
Si 0.000 0.500 0.190
Au 0.000 0.000 0.250

(19)
Computed, not measured: a relaxed structure of HfZn at the PBE-GGA level of DFT.

Results
* calculated total energy: -21.80 eV per cell
* V: 19.3 Å³/atom
* ΔH_f (0 K): 0.160 eV/atom
* crystal system: hexagonal

Lattice parameters (Å, degrees): 3.2996 3.2996 8.2041 90.00 90.00 120.00
Space group P6_3/mmc (No. 194)
Unique sites:
Hf 0.0000 0.0000 0.0000
Zn 0.3333 0.6667 0.2500

(20)
Computed, not measured: a relaxed structure of Li4TlCd2Sn at the PBE-GGA level of DFT.

Results
* calculated total energy: -18.06 eV per cell
* V: 19.2 Å³/atom
* crystal system: tetragonal

Lattice parameters (Å, degrees): 4.754 4.754 6.789 90.00 90.00 90.00
Space group P-4m2 (No. 115)
Unique sites:
Li 0.000 0.000 0.000
Li 0.000 0.500 0.249
Li 0.500 0.500 0.500
Tl 0.500 0.500 0.000
Cd 0.000 0.500 0.751
Sn 0.000 0.000 0.500

(21)
Computed, not measured: a relaxed structure of AlW3N2 at the PBE-GGA level of DFT.

Results
* calculated total energy: -117.97 eV per cell
* V: 12.0 Å³/atom
* crystal system: hexagonal

Lattice parameters (Å, degrees): 2.8221 2.8221 20.9408 90.00 90.00 120.00
Space group P6_3/mmc (No. 194)
Unique sites:
Al 0.0000 0.0000 0.2500
W 0.0000 0.0000 0.0000
W 0.3333 0.6667 0.1420
N 0.3333 0.6667 0.5735

(22)
Computed, not measured: a relaxed structure of Ta4ZnSnN2 at the PBE-GGA level of DFT.

Results
* calculated total energy: -72.67 eV per cell
* V: 14.8 Å³/atom
* crystal system: hexagonal

Lattice parameters (Å, degrees): 3.1533 3.1533 13.7612 90.00 90.00 120.00
Space group P-6m2 (No. 187)
Unique sites:
Ta 0.0000 0.0000 0.1565
Ta 0.6667 0.3333 0.3281
Zn 0.6667 0.3333 0.0000
Sn 0.0000 0.0000 0.5000
N 0.3333 0.6667 0.2420

(23)
Computed, not measured: a relaxed structure of NdHoTl2 at the PBE-GGA level of DFT.

Results
* calculated total energy: -15.52 eV per cell
* V: 28.1 Å³/atom
* crystal system: tetragonal

Lattice parameters (Å, degrees): 3.828 3.828 7.659 90.00 90.00 90.00
Space group P4/mmm (No. 123)
Unique sites:
Nd 0.000 0.000 0.000
Ho 0.000 0.000 0.500
Tl 0.500 0.500 0.263